Entry 1:
Compound: KSrBe2
Source: Alexandria
Functional: PBE
Structure: relaxed

**Magnetic moment**: 0.00 μB per atom
**Formation energy from the elements**: 1.133 eV/atom

Lattice parameters (Å, degrees): 8.601 8.601 6.722 90.00 90.00 90.00
Space group I-42d (No. 122)
Inequivalent atoms, fractional coordinates:
K (0.000, 0.000, 0.000) x4
Sr (0.000, 0.000, 0.500) x4
Be (0.244, 0.250, 0.625) x8



Entry 2:
Compound: Tl2BW
Source: Alexandria
Functional: PBE
Structure: relaxed

**Magnetic moment**: 0.26 μB per atom
**Formation energy from the elements**: 1.284 eV/atom

Lattice parameters (Å, degrees): 9.172 9.172 4.283 90.00 90.00 90.00
Space group I-42d (No. 122)
Inequivalent atoms, fractional coordinates:
Tl (0.097, 0.750, 0.125) x8
B (0.000, 0.000, 0.000) x4
W (0.000, 0.000, 0.500) x4



Entry 3:
Compound: Li3Bi2Pb
Source: Alexandria
Functional: PBE
Structure: relaxed

**Magnetic moment**: 0.00 μB per atom
**Formation energy from the elements**: -0.336 eV/atom

Lattice parameters (Å, degrees): 3.465 3.465 11.772 90.00 90.00 90.00
Space group P4/mmm (No. 123)
Inequivalent atoms, fractional coordinates:
Li (0.000, 0.000, 0.000) x1
Li (0.000, 0.000, 0.336) x2
Bi (0.500, 0.500, 0.176) x2
Pb (0.500, 0.500, 0.500) x1



Entry 4:
Compound: ThZrTl2
Source: Alexandria
Functional: PBE
Structure: relaxed

**Magnetic moment**: 0.00 μB per atom
**Formation energy from the elements**: 0.062 eV/atom

Lattice parameters (Å, degrees): 4.9037 4.9037 16.2335 90.00 90.00 120.00
Space group R-3m (No. 166, hexagonal axes)
Inequivalent atoms, fractional coordinates:
Th (0.0000, 0.0000, 0.0000) x3
Zr (0.0000, 0.0000, 0.5000) x3
Tl (0.0000, 0.0000, 0.2343) x6



Entry 5:
Compound: Hf8Sb2Pd
Source: Alexandria
Functional: PBE
Structure: relaxed

**Formation energy (no corrections)**: -0.25 eV/atom
**Magnetic moment**: 0.00 μB per atom

Lattice parameters (Å, degrees): 15.832 4.353 7.205 90.00 108.34 90.00
Space group C2/m (No. 12)
Inequivalent atoms, fractional coordinates:
Hf (0.043, 0.000, 0.255) x4
Hf (0.087, 0.500, 0.950) x4
Hf (0.145, 0.000, 0.707) x4
Hf (0.179, 0.500, 0.418) x4
Sb (0.215, 0.000, 0.155) x4
Pd (0.000, 0.500, 0.500) x2



Entry 6:
Compound: RbNaZrTe3
Source: Alexandria
Functional: PBE
Structure: relaxed

**Formation energy (no corrections)**: -0.93 eV/atom
**Magnetic moment**: 0.00 μB per atom

Lattice parameters (Å, degrees): 8.266 15.576 7.820 90.00 90.00 90.00
Space group Cmcm (No. 63)
Inequivalent atoms, fractional coordinates:
Rb (0.000, 0.223, 0.250) x4
Na (0.000, 0.427, 0.750) x4
Zr (0.000, 0.057, 0.750) x4
Te (0.000, 0.231, 0.750) x4
Te (0.233, 0.000, 0.000) x8



Entry 7:
Compound: LaMo2Br
Source: Alexandria
Functional: PBE
Structure: relaxed

**Formation energy (no corrections)**: 0.16 eV/atom
**Magnetic moment**: 0.00 μB per atom

Lattice parameters (Å, degrees): 3.4330 3.4330 26.9513 90.00 90.00 120.00
Space group R3m (No. 160, hexagonal axes)
Inequivalent atoms, fractional coordinates:
La (0.0000, 0.0000, 0.0000) x3
Mo (0.0000, 0.0000, 0.4848) x3
Mo (0.0000, 0.0000, 0.7617) x3
Br (0.0000, 0.0000, 0.2426) x3



Entry 8:
Compound: Rb2GeRh
Source: Alexandria
Functional: PBE
Structure: relaxed

**Magnetic moment**: 0.00 μB per atom
**Formation energy from the elements**: 0.083 eV/atom

Lattice parameters (Å, degrees): 12.940 12.940 4.637 90.00 90.00 90.00
Space group I-42d (No. 122)
Inequivalent atoms, fractional coordinates:
Rb (0.048, 0.750, 0.125) x8
Ge (0.000, 0.000, 0.500) x4
Rh (0.000, 0.000, 0.000) x4



Look up the magnetic moment of the fifth one.
0.00 μB per atom